[1]
TbPu2Pd9: optimized geometry, PBE.

Calculated values
- Total magnetic moment: 8.59 μB/f.u.
- Energy of formation: -0.67 eV per atom

a b c (Å): 4.1371 4.1371 12.4252
angles (deg): 90.00 90.00 90.00
With the nearest neighbours (Å) after each atom.
Positions (direct):
1 Tb 0.0000 0.0000 0.0000  12 Pd 2.93-2.94
2 Pu 0.0000 0.0000 0.3325  12 Pd 2.91-2.93
3 Pu 0.0000 0.0000 0.6675  12 Pd 2.91-2.93
4 Pd 0.0000 0.5000 0.1679  2 Pu 2.91, 8 Pd 2.92-2.94, 2 Tb 2.94
5 Pd 0.0000 0.5000 0.5000  8 Pd 2.93, 4 Pu 2.93
6 Pd 0.0000 0.5000 0.8321  2 Pu 2.91, 8 Pd 2.92-2.94, 2 Tb 2.94
7 Pd 0.5000 0.0000 0.1679  2 Pu 2.91, 8 Pd 2.92-2.94, 2 Tb 2.94
8 Pd 0.5000 0.0000 0.5000  8 Pd 2.93, 4 Pu 2.93
9 Pd 0.5000 0.0000 0.8321  2 Pu 2.91, 8 Pd 2.92-2.94, 2 Tb 2.94
10 Pd 0.5000 0.5000 0.0000  4 Tb 2.93, 8 Pd 2.94
11 Pd 0.5000 0.5000 0.3332  8 Pd 2.92-2.93, 4 Pu 2.93
12 Pd 0.5000 0.5000 0.6668  8 Pd 2.92-2.93, 4 Pu 2.93

***

[2]
TbPuPd4: optimized geometry, PBE.

Calculated values
- Total magnetic moment: 5.34 μB/f.u.
- Energy of formation: -0.66 eV per atom

a b c (Å): 5.4562 5.4562 5.4562
angles (deg): 60.00 60.00 60.00
With the nearest neighbours (Å) after each atom.
Positions (direct):
1 Tb 0.0000 0.0000 0.0000  12 Pd 3.20, 4 Pu 3.34
2 Pu 0.7500 0.7500 0.7500  12 Pd 3.20, 4 Tb 3.34
3 Pd 0.3752 0.3752 0.3752  6 Pd 2.72-2.73
4 Pd 0.3752 0.3752 0.8745  6 Pd 2.72-2.73
5 Pd 0.3752 0.8745 0.3752  6 Pd 2.72-2.73
6 Pd 0.8745 0.3752 0.3752  6 Pd 2.72-2.73

***

[3]
TbPuPd4: optimized geometry, PBE.

Calculated values
- Total magnetic moment: 5.58 μB/f.u.
- Energy of formation: -0.66 eV per atom

a b c (Å): 5.3613 6.0091 7.4964
angles (deg): 90.00 106.78 90.00
With the nearest neighbours (Å) after each atom.
Positions (direct):
1 Tb 0.2154 0.2500 0.1460  11 Pd 2.93-3.05
2 Tb 0.7846 0.7500 0.8540  11 Pd 2.93-3.05
3 Pu 0.0178 0.7500 0.4543  7 Pd 2.81-3.13, 2 Pu 3.10
4 Pu 0.9822 0.2500 0.5457  7 Pd 2.81-3.13, 2 Pu 3.10
5 Pd 0.2803 0.5175 0.8361  5 Pd 2.79-3.08, 1 Pu 2.81, 3 Tb 2.93-3.04
6 Pd 0.2803 0.9825 0.8361  5 Pd 2.79-3.08, 1 Pu 2.81, 3 Tb 2.93-3.04
7 Pd 0.2868 0.7500 0.1670  6 Pd 2.83-2.85, 1 Pu 2.92, 3 Tb 3.02-3.03
8 Pd 0.5000 0.0000 0.5000  6 Pd 2.85-3.08, 2 Pu 2.92, 2 Tb 3.05
9 Pd 0.5000 0.5000 0.5000  6 Pd 2.85-3.08, 2 Pu 2.92, 2 Tb 3.05
10 Pd 0.7132 0.2500 0.8330  6 Pd 2.83-2.85, 1 Pu 2.92, 3 Tb 3.02-3.03
11 Pd 0.7197 0.0175 0.1639  5 Pd 2.79-3.08, 1 Pu 2.81, 3 Tb 2.93-3.04
12 Pd 0.7197 0.4825 0.1639  5 Pd 2.79-3.08, 1 Pu 2.81, 3 Tb 2.93-3.04

***

[4]
Tb2PuPd3: optimized geometry, PBE.

Calculated values
- Total magnetic moment: 5.90 μB/f.u.
- Energy of formation: -0.71 eV per atom

a b c (Å): 3.4779 3.4779 10.8433
angles (deg): 90.00 90.00 90.00
With the nearest neighbours (Å) after each atom.
Positions (direct):
1 Tb 0.0000 0.0000 0.1666  8 Pd 2.98-3.05
2 Tb 0.0000 0.0000 0.8334  8 Pd 2.98-3.05
3 Pu 0.0000 0.0000 0.5000  8 Pd 3.13, 4 Pu 3.48
4 Pd 0.5000 0.5000 0.0000  8 Tb 3.05
5 Pd 0.5000 0.5000 0.3219  4 Tb 2.98, 4 Pu 3.13
6 Pd 0.5000 0.5000 0.6781  4 Tb 2.98, 4 Pu 3.13

***

What did we get for V? Answer: 212.66; 114.86; 231.22; 131.16 Å³/cell, in the order shown.